*1*
Pr3Sn3Pd2, relaxed, DFT GGA-PBE; space group = Cmcm
1.0
4.676 0.000 0.000
-2.338 5.642 0.000
0.000 0.000 15.692
Pr Sn Pd
6 6 4
Direct
0.915 0.829 0.390
0.085 0.171 0.890
0.915 0.829 0.110
0.085 0.171 0.610
0.640 0.279 0.250
0.360 0.721 0.750
0.623 0.247 0.463
0.377 0.753 0.963
0.623 0.247 0.037
0.377 0.753 0.537
0.345 0.691 0.250
0.655 0.309 0.750
0.795 0.590 0.897
0.205 0.410 0.397
0.795 0.590 0.603
0.205 0.410 0.103

*2*
Pr3Sn3Pd2, relaxed, DFT GGA-PBE; space group = Pnma
1.0
-5.605 2.488 -0.285
-3.505 -7.827 0.590
-0.228 1.286 15.719
Pr Sn Pd
12 12 8
Direct
0.126 0.467 0.390
0.626 0.033 0.610
0.874 0.533 0.890
0.374 0.967 0.110
0.874 0.533 0.610
0.374 0.967 0.390
0.126 0.467 0.110
0.626 0.033 0.890
0.630 0.325 0.250
0.130 0.175 0.750
0.370 0.675 0.750
0.870 0.825 0.250
0.118 0.181 0.250
0.618 0.319 0.750
0.882 0.819 0.750
0.382 0.681 0.250
0.608 0.306 0.462
0.108 0.194 0.538
0.392 0.694 0.962
0.892 0.806 0.038
0.392 0.694 0.538
0.892 0.806 0.462
0.608 0.306 0.038
0.108 0.194 0.962
0.877 0.092 0.391
0.377 0.408 0.609
0.123 0.908 0.891
0.623 0.592 0.109
0.123 0.908 0.609
0.623 0.592 0.391
0.877 0.092 0.109
0.377 0.408 0.891

Verdict on stability: *2* comes out at the bottom.

*1*
Pr2Sn3Pd, relaxed, DFT GGA-PBE; space group = Cm
1.0
4.365 0.000 1.828
1.874 5.727 1.651
-0.062 0.075 6.273
Pr Sn Pd
2 3 1
Direct
0.552 0.183 0.713
0.436 0.813 0.314
0.874 0.594 0.659
0.812 0.240 0.136
0.156 0.777 0.911
0.170 0.394 0.266

*2*
Pr2Sn3Pd, relaxed, DFT GGA-PBE; space group = Pmm2
1.0
4.189 0.000 0.000
0.000 4.820 0.000
0.000 0.000 8.044
Pr Sn Pd
2 3 1
Direct
0.000 0.500 0.004
0.000 0.000 0.505
0.500 0.000 0.836
0.500 0.000 0.188
0.500 0.500 0.647
0.500 0.500 0.320

Verdict on stability: *2* comes out at the bottom.

*1*
Pr3Sn2Pd7, relaxed, DFT GGA-PBE; space group = I4/mmm
1.0
4.197 0.000 0.000
0.000 4.197 0.000
-2.099 -2.099 14.725
Pr Sn Pd
3 2 7
Direct
0.321 0.321 0.642
0.679 0.679 0.358
0.500 0.500 0.000
0.127 0.127 0.255
0.873 0.873 0.745
0.000 0.000 0.000
0.927 0.427 0.854
0.427 0.927 0.854
0.073 0.573 0.146
0.573 0.073 0.146
0.221 0.221 0.441
0.779 0.779 0.559

*2*
Pr3Sn2Pd7, relaxed, DFT GGA-PBE; space group = P2/m
1.0
-1.021 -3.009 -2.548
0.370 -2.853 3.220
-15.158 3.808 1.576
Pr Sn Pd
3 2 7
Direct
0.500 0.500 0.000
0.500 0.694 0.407
0.500 0.306 0.593
0.000 0.955 0.833
0.000 0.045 0.167
0.000 0.392 0.730
0.000 0.795 0.576
0.000 0.000 0.000
0.000 0.608 0.270
0.500 0.113 0.279
0.500 0.887 0.721
0.000 0.205 0.424

Verdict on stability: *2* comes out at the bottom.

*1*
SrPrPd2, relaxed, DFT GGA-PBE; space group = Fm-3m
1.0
5.203 0.000 0.000
2.601 4.506 0.000
2.601 1.502 4.248
Pr Sr Pd
1 1 2
Direct
0.000 0.000 0.000
0.500 0.500 0.500
0.250 0.250 0.250
0.750 0.750 0.750

*2*
SrPrPd2, relaxed, DFT GGA-PBE; space group = P4/mmm
1.0
3.699 0.000 0.000
0.000 3.699 0.000
0.000 0.000 7.430
Pr Sr Pd
1 1 2
Direct
0.500 0.500 0.000
0.500 0.500 0.500
0.000 0.000 0.782
0.000 0.000 0.218

*3*
SrPrPd2, relaxed, DFT GGA-PBE; space group = R3m
1.0
-0.414 -1.221 -3.984
0.012 -4.078 -0.952
-7.614 -1.985 -0.801
Sr Pr Pd
1 1 2
Direct
0.497 0.497 0.509
0.669 0.669 0.994
0.078 0.078 0.766
0.256 0.256 0.231

Verdict on stability: *3* comes out at the bottom.

*1*
TbPr2Pd2, relaxed, DFT GGA-PBE; space group = P4/mbm
1.0
4.086 0.000 0.000
0.000 7.998 0.000
0.000 0.000 7.998
Tb Pr Pd
2 4 4
Direct
0.000 0.000 0.000
0.000 0.500 0.500
0.500 0.169 0.669
0.500 0.669 0.831
0.500 0.831 0.331
0.500 0.331 0.169
0.000 0.371 0.871
0.000 0.871 0.629
0.000 0.629 0.129
0.000 0.129 0.371

*2*
TbPr2Pd2, relaxed, DFT GGA-PBE; space group = C2/m
1.0
4.025 0.000 0.000
2.012 6.578 0.004
2.012 0.972 10.105
Tb Pr Pd
2 4 4
Direct
0.796 0.051 0.357
0.204 0.949 0.643
0.329 0.265 0.077
0.454 0.395 0.697
0.671 0.735 0.923
0.546 0.605 0.303
0.985 0.147 0.882
0.123 0.308 0.447
0.015 0.853 0.118
0.877 0.692 0.553

Verdict on stability: *1* comes out at the bottom.

*1*
TbPrPd2, relaxed, DFT GGA-PBE; space group = Fm-3m
1.0
5.080 0.000 0.000
2.540 4.400 0.000
2.540 1.467 4.148
Pr Tb Pd
1 1 2
Direct
0.500 0.500 0.500
0.000 0.000 0.000
0.250 0.250 0.250
0.750 0.750 0.750

*2*
TbPrPd2, relaxed, DFT GGA-PBE; space group = R-3m
1.0
-2.280 1.092 -3.342
-3.846 -1.580 -0.519
-4.630 5.001 2.167
Pr Tb Pd
1 1 2
Direct
0.500 0.500 0.500
0.000 0.000 0.000
0.745 0.745 0.765
0.255 0.255 0.235

*3*
TbPrPd2, relaxed, DFT GGA-PBE; space group = P4/mmm
1.0
-0.475 1.926 -2.909
-3.484 -0.408 0.300
-0.364 6.147 4.130
Pr Tb Pd
1 1 2
Direct
0.500 0.500 0.500
0.500 0.500 0.000
0.000 0.000 0.773
0.000 0.000 0.227

Verdict on stability: *2* comes out at the bottom.